<P>
A plane-wave DFT calculation with SCAN was carried out for a PBEsol-optimized structure of Cu5Pt7.

a = 5.3506 Å, b = 7.6120 Å, c = 8.0395 Å
α = 90.00°, β = 90.00°, γ = 90.00°
With the nearest neighbours (Å) after each atom.
Space group C222 (No. 21)
One atom of each set of equivalent atoms:
Cu: 0.0000 0.0000 0.0000 [2 per cell]  8 Pt 2.63-2.68, 4 Cu 2.68
Cu: 0.0000 0.5000 0.3300 [4 per cell]  9 Pt 2.65-2.70, 3 Cu 2.67-2.73
Cu: 0.2500 0.2500 0.8342 [4 per cell]  8 Pt 2.63-2.68, 4 Cu 2.67-2.68
Pt: 0.0000 0.0000 0.3271 [4 per cell]  5 Cu 2.63-2.68, 7 Pt 2.68-2.78
Pt: 0.0000 0.5000 0.0000 [2 per cell]  8 Cu 2.65-2.68, 4 Pt 2.66
Pt: 0.2500 0.2500 0.1609 [4 per cell]  7 Cu 2.63-2.69, 5 Pt 2.66-2.73
Pt: 0.2500 0.2500 0.5006 [4 per cell]  7 Pt 2.68-2.73, 5 Cu 2.68-2.70

Properties
Its total magnetization is 0.00 μB/cell.

<Q>
A plane-wave DFT calculation with SCAN was carried out for a PBEsol-optimized structure of Cu5Pt7.

a = 3.7483 Å, b = 5.4005 Å, c = 16.1611 Å
α = 90.00°, β = 90.00°, γ = 90.00°
With the nearest neighbours (Å) after each atom.
Space group Amm2 (No. 38)
One atom of each set of equivalent atoms:
Cu: 0.0000 0.0000 0.0000 [2 per cell]  1 Cu 2.64, 11 Pt 2.69-2.82
Cu: 0.0000 0.0000 0.1631 [2 per cell]  5 Pt 2.53-2.61, 7 Cu 2.64-2.70
Cu: 0.0000 0.0000 0.6662 [2 per cell]  6 Pt 2.58-2.70, 6 Cu 2.63-2.70
Cu: 0.5000 0.2488 0.7445 [4 per cell]  6 Pt 2.55-2.72, 6 Cu 2.63-2.71
Pt: 0.0000 0.0000 0.3196 [2 per cell]  5 Cu 2.53-2.61, 6 Pt 2.70-2.76
Pt: 0.0000 0.0000 0.4994 [2 per cell]  3 Cu 2.70, 9 Pt 2.70-2.90
Pt: 0.0000 0.0000 0.8255 [2 per cell]  6 Cu 2.58-2.82, 6 Pt 2.70
Pt: 0.5000 0.2464 0.0867 [4 per cell]  7 Cu 2.55-2.69, 5 Pt 2.66-2.81
Pt: 0.5000 0.2483 0.9130 [4 per cell]  9 Pt 2.68-2.81, 3 Cu 2.70-2.72

Properties
Its total magnetization is 0.00 μB/cell.

<R>
A plane-wave DFT calculation with SCAN was carried out for a PBEsol-optimized structure of Cu5Pt7.

a = 2.7327 Å, b = 2.7327 Å, c = 21.6748 Å
α = 90.00°, β = 90.00°, γ = 90.00°
With the nearest neighbours (Å) after each atom.
Space group P4mm (No. 99)
One atom of each set of equivalent atoms:
Cu: 0.0000 0.0000 0.0000 [1 per cell]  8 Cu 2.47-2.73, 4 Pt 2.61
Cu: 0.0000 0.0000 0.1626 [1 per cell]  8 Pt 2.62, 4 Cu 2.73
Cu: 0.0000 0.0000 0.3261 [1 per cell]  8 Pt 2.62, 4 Cu 2.73
Cu: 0.0000 0.0000 0.4895 [1 per cell]  8 Pt 2.62-2.63, 4 Cu 2.73
Cu: 0.5000 0.5000 0.9289 [1 per cell]  8 Cu 2.47-2.73, 4 Pt 2.61
Pt: 0.0000 0.0000 0.6635 [1 per cell]  12 Pt 2.73-2.78
Pt: 0.0000 0.0000 0.8479 [1 per cell]  4 Cu 2.61, 8 Pt 2.73-2.79
Pt: 0.5000 0.5000 0.0806 [1 per cell]  8 Cu 2.61-2.62, 4 Pt 2.73
Pt: 0.5000 0.5000 0.2442 [1 per cell]  8 Cu 2.62, 4 Pt 2.73
Pt: 0.5000 0.5000 0.4079 [1 per cell]  8 Cu 2.62, 4 Pt 2.73
Pt: 0.5000 0.5000 0.5715 [1 per cell]  4 Cu 2.63, 8 Pt 2.73-2.78
Pt: 0.5000 0.5000 0.7552 [1 per cell]  12 Pt 2.73-2.79

Properties
Its total magnetization is 0.00 μB/cell.

<S>
A plane-wave DFT calculation with SCAN was carried out for a PBEsol-optimized structure of Cu5Pt7.

a = 2.7003 Å, b = 7.5264 Å, c = 8.0548 Å
α = 90.00°, β = 90.00°, γ = 90.00°
With the nearest neighbours (Å) after each atom.
Space group Pmmm (No. 47)
One atom of each set of equivalent atoms:
Cu: 0.0000 0.0000 0.0000 [1 per cell]  2 Cu 2.70, 10 Pt 2.72-2.73
Cu: 0.0000 0.5000 0.3451 [2 per cell]  7 Cu 2.49-2.70, 5 Pt 2.68-2.78
Cu: 0.5000 0.2598 0.5000 [2 per cell]  6 Cu 2.58-2.70, 6 Pt 2.62-2.71
Pt: 0.0000 0.0000 0.3371 [2 per cell]  7 Pt 2.62-2.70, 5 Cu 2.71-2.72
Pt: 0.0000 0.5000 0.0000 [1 per cell]  10 Pt 2.69-2.70, 2 Cu 2.78
Pt: 0.5000 0.2533 0.1743 [4 per cell]  5 Cu 2.62-2.73, 7 Pt 2.68-2.81

Properties
Its total magnetization is 0.00 μB/cell.

On energetic grounds, <P> is preferred over the next structure by 8 meV/atom.

<P>
A plane-wave DFT calculation with SCAN was carried out for a PBEsol-optimized structure of Cu5Pt7.

a = 4.6278 Å, b = 5.3835 Å, c = 6.5776 Å
α = 90.48°, β = 90.06°, γ = 90.00°
With the nearest neighbours (Å) after each atom.
Space group P1 (No. 1)
One atom of each set of equivalent atoms:
Cu: 0.0000 0.0000 0.0000 [1 per cell]  4 Cu 2.63-2.75, 8 Pt 2.65-2.71
Cu: 0.0015 0.5106 0.9984 [1 per cell]  7 Pt 2.62-2.72, 5 Cu 2.63-2.75
Cu: 0.1669 0.7520 0.3356 [1 per cell]  8 Pt 2.64-2.72, 4 Cu 2.67-2.70
Cu: 0.3317 0.5064 0.6704 [1 per cell]  8 Pt 2.61-2.77, 4 Cu 2.64-2.69
Cu: 0.8351 0.7535 0.6700 [1 per cell]  7 Pt 2.61-2.74, 5 Cu 2.65-2.68
Pt: 0.1674 0.2568 0.3349 [1 per cell]  5 Cu 2.67-2.72, 7 Pt 2.67-2.74
Pt: 0.3271 0.9919 0.6705 [1 per cell]  6 Cu 2.61-2.77, 6 Pt 2.65-2.78
Pt: 0.4967 0.2562 0.9979 [1 per cell]  7 Pt 2.66-2.75, 5 Cu 2.66-2.71
Pt: 0.4993 0.7516 0.9999 [1 per cell]  7 Cu 2.64-2.69, 5 Pt 2.65-2.72
Pt: 0.6689 0.5084 0.3347 [1 per cell]  7 Pt 2.65-2.74, 5 Cu 2.65-2.71
Pt: 0.6739 0.0004 0.3351 [1 per cell]  4 Cu 2.64-2.70, 8 Pt 2.65-2.75
Pt: 0.8384 0.2632 0.6735 [1 per cell]  6 Cu 2.62-2.74, 6 Pt 2.66-2.78

Properties
Its total magnetization is 0.00 μB/cell.

<Q>
A plane-wave DFT calculation with SCAN was carried out for a PBEsol-optimized structure of Cu5Pt7.

a = 7.9220 Å, b = 2.7085 Å, c = 8.0954 Å
α = 90.00°, β = 110.05°, γ = 90.00°
With the nearest neighbours (Å) after each atom.
Space group Pm (No. 6)
One atom of each set of equivalent atoms:
Cu: 0.0000 0.0000 0.0000 [1 per cell]  7 Cu 2.55-2.71, 5 Pt 2.62-2.72
Cu: 0.0048 0.0000 0.3284 [1 per cell]  5 Cu 2.55-2.71, 7 Pt 2.61-2.79
Cu: 0.5110 0.0000 0.1670 [1 per cell]  8 Pt 2.61-2.75, 4 Cu 2.71-2.73
Cu: 0.7646 0.5000 0.7604 [1 per cell]  5 Cu 2.57-2.71, 7 Pt 2.59-2.87
Cu: 0.7736 0.5000 0.0900 [1 per cell]  9 Cu 2.55-2.73, 3 Pt 2.58
Pt: 0.0001 0.0000 0.6714 [1 per cell]  4 Cu 2.60-2.79, 8 Pt 2.71-2.74
Pt: 0.2448 0.5000 0.2445 [1 per cell]  6 Cu 2.61-2.75, 6 Pt 2.64-2.77
Pt: 0.2588 0.5000 0.5843 [1 per cell]  10 Pt 2.70-2.83, 2 Cu 2.70
Pt: 0.2616 0.5000 0.9245 [1 per cell]  4 Cu 2.63-2.72, 8 Pt 2.64-2.77
Pt: 0.5143 0.0000 0.5023 [1 per cell]  9 Pt 2.70-2.79, 3 Cu 2.70-2.71
Pt: 0.5328 0.0000 0.8525 [1 per cell]  5 Cu 2.58-2.61, 7 Pt 2.71-2.83
Pt: 0.7594 0.5000 0.4042 [1 per cell]  6 Cu 2.58-2.87, 6 Pt 2.70-2.71

Properties
Its total magnetization is 0.00 μB/cell.

On energetic grounds, <P> is preferred over the next structure by 22 meV/atom.

<P>
A plane-wave DFT calculation with SCAN was carried out for a PBEsol-optimized structure of Cu5Pt7.

a = 2.7184 Å, b = 8.0734 Å, c = 7.4318 Å
α = 90.00°, β = 90.00°, γ = 90.00°
With the nearest neighbours (Å) after each atom.
Space group Pmm2 (No. 25)
One atom of each set of equivalent atoms:
Cu: 0.0000 0.0000 0.0000 [1 per cell]  6 Cu 2.58-2.72, 6 Pt 2.63-2.73
Cu: 0.0000 0.3278 0.5162 [2 per cell]  7 Pt 2.58-2.67, 5 Cu 2.64-2.78
Cu: 0.5000 0.1637 0.7640 [2 per cell]  5 Pt 2.58-2.72, 7 Cu 2.58-2.72
Pt: 0.0000 0.0000 0.5289 [1 per cell]  6 Cu 2.58-2.65, 6 Pt 2.72-2.74
Pt: 0.0000 0.3258 0.0041 [2 per cell]  3 Cu 2.60-2.63, 9 Pt 2.69-2.82
Pt: 0.5000 0.1645 0.2632 [2 per cell]  8 Pt 2.66-2.74, 4 Cu 2.67-2.73
Pt: 0.5000 0.5000 0.2766 [1 per cell]  4 Cu 2.64, 8 Pt 2.71-2.82
Pt: 0.5000 0.5000 0.7452 [1 per cell]  6 Cu 2.58-2.72, 6 Pt 2.72-2.74

Properties
Its total magnetization is 0.00 μB/cell.

<Q>
A plane-wave DFT calculation with SCAN was carried out for a PBEsol-optimized structure of Cu5Pt7.

a = 5.3418 Å, b = 5.9692 Å, c = 6.0266 Å
α = 72.80°, β = 77.07°, γ = 63.81°
With the nearest neighbours (Å) after each atom.
Space group P-1 (No. 2)
One atom of each set of equivalent atoms:
Cu: 0.0000 0.0000 0.0000 [1 per cell]  8 Pt 2.66-2.70, 4 Cu 2.69-2.71
Cu: 0.3335 0.6649 0.3347 [2 per cell]  8 Pt 2.65-2.70, 4 Cu 2.66-2.71
Cu: 0.4158 0.8326 0.6646 [2 per cell]  8 Pt 2.63-2.70, 4 Cu 2.66-2.69
Pt: 0.0866 0.1590 0.3360 [2 per cell]  6 Pt 2.62-2.74, 6 Cu 2.65-2.69
Pt: 0.1750 0.3292 0.6621 [2 per cell]  6 Cu 2.63-2.70, 6 Pt 2.67-2.74
Pt: 0.2534 0.5029 0.9993 [2 per cell]  7 Pt 2.62-2.74, 5 Cu 2.66-2.70
Pt: 0.5000 0.0000 0.0000 [1 per cell]  6 Cu 2.67-2.70, 6 Pt 2.68-2.69

Properties
Its total magnetization is 0.00 μB/cell.

On energetic grounds, <P> is preferred over the next structure by 10 meV/atom.

<P>
A plane-wave DFT calculation with SCAN was carried out for a PBEsol-optimized structure of Cu5Pt7.

a = 8.8699 Å, b = 8.0768 Å, c = 4.6360 Å
α = 90.00°, β = 100.05°, γ = 90.00°
With the nearest neighbours (Å) after each atom.
Space group C2 (No. 5)
One atom of each set of equivalent atoms:
Cu: 0.0000 0.0000 0.0000 [2 per cell]  7 Pt 2.60-2.74, 5 Cu 2.64-2.66
Cu: 0.0000 0.1615 0.5000 [2 per cell]  6 Pt 2.59-2.66, 6 Cu 2.66-2.68
Cu: 0.0000 0.3272 0.0000 [2 per cell]  7 Pt 2.62-2.70, 5 Cu 2.64-2.70
Cu: 0.2474 0.9953 0.7513 [4 per cell]  9 Pt 2.62-2.71, 3 Cu 2.65-2.70
Pt: 0.0000 0.4906 0.5000 [2 per cell]  7 Pt 2.64-2.82, 5 Cu 2.66-2.70
Pt: 0.0000 0.6610 0.0000 [2 per cell]  4 Cu 2.69-2.74, 8 Pt 2.70-2.74
Pt: 0.0000 0.8403 0.5000 [2 per cell]  5 Cu 2.59-2.65, 7 Pt 2.71-2.82
Pt: 0.2414 0.1611 0.2487 [4 per cell]  6 Cu 2.60-2.70, 6 Pt 2.67-2.79
Pt: 0.2465 0.3283 0.7534 [4 per cell]  6 Cu 2.64-2.72, 6 Pt 2.64-2.71

Properties
Its total magnetization is 0.00 μB/cell.

<Q>
A plane-wave DFT calculation with SCAN was carried out for a PBEsol-optimized structure of Cu5Pt7.

a = 6.0340 Å, b = 3.7791 Å, c = 7.5137 Å
α = 90.00°, β = 107.90°, γ = 90.00°
With the nearest neighbours (Å) after each atom.
Space group P2/m (No. 10)
One atom of each set of equivalent atoms:
Cu: 0.0000 0.0000 0.0000 [1 per cell]  4 Pt 2.58, 8 Cu 2.60-2.67
Cu: 0.0006 0.5000 0.7624 [2 per cell]  4 Cu 2.60, 8 Pt 2.65-2.76
Cu: 0.3289 0.5000 0.0811 [2 per cell]  7 Pt 2.59-2.74, 5 Cu 2.60-2.70
Pt: 0.0000 0.0000 0.5000 [1 per cell]  8 Pt 2.68-2.72, 4 Cu 2.73
Pt: 0.3226 0.0000 0.3186 [2 per cell]  5 Cu 2.58-2.65, 6 Pt 2.70-2.76
Pt: 0.3252 0.0000 0.8439 [2 per cell]  7 Cu 2.58-2.74, 5 Pt 2.63-2.76
Pt: 0.3306 0.5000 0.5856 [2 per cell]  9 Pt 2.68-2.75, 3 Cu 2.71-2.76

Properties
Its total magnetization is 0.00 μB/cell.

On energetic grounds, <Q> is preferred over the next structure by 7 meV/atom.

<P>
A plane-wave DFT calculation with SCAN was carried out for a PBEsol-optimized structure of Cu4Pt3.

a = 6.9819 Å, b = 6.9819 Å, c = 6.5155 Å
α = 90.00°, β = 90.00°, γ = 120.00°
With the nearest neighbours (Å) after each atom.
Space group R3 (No. 146, hexagonal axes)
One atom of each set of equivalent atoms:
Cu: 0.0000 0.0000 0.0000 [3 per cell]  6 Pt 2.60-2.69, 6 Cu 2.61-2.66
Cu: 0.0463 0.2342 0.6716 [9 per cell]  6 Cu 2.60-2.67, 6 Pt 2.63-2.68
Pt: 0.1424 0.7201 0.0033 [9 per cell]  8 Cu 2.60-2.69, 4 Pt 2.64-2.69

Properties
Its total magnetization is 0.00 μB/cell.

<Q>
A plane-wave DFT calculation with SCAN was carried out for a PBEsol-optimized structure of Cu4Pt3.

a = 2.7424 Å, b = 2.7424 Å, c = 24.0466 Å
α = 90.00°, β = 90.00°, γ = 90.00°
With the nearest neighbours (Å) after each atom.
Space group I4/mmm (No. 139)
One atom of each set of equivalent atoms:
Cu: 0.0000 0.0000 0.0724 [4 per cell]  8 Cu 2.47-2.74, 4 Pt 2.61
Cu: 0.0000 0.0000 0.3640 [4 per cell]  8 Cu 2.47-2.74, 4 Pt 2.60
Pt: 0.0000 0.0000 0.2082 [4 per cell]  4 Cu 2.60, 8 Pt 2.74-2.79
Pt: 0.0000 0.0000 0.5000 [2 per cell]  8 Cu 2.61, 4 Pt 2.74

Properties
Its total magnetization is 0.00 μB/cell.

On energetic grounds, <P> is preferred over the next structure by 8 meV/atom.

<P>
A plane-wave DFT calculation with SCAN was carried out for a PBEsol-optimized structure of Cu7Pt5.

a = 3.7302 Å, b = 5.2688 Å, c = 7.9323 Å
α = 90.00°, β = 90.00°, γ = 90.00°
With the nearest neighbours (Å) after each atom.
Space group Pmmm (No. 47)
One atom of each set of equivalent atoms:
Cu: 0.0000 0.0000 0.0000 [1 per cell]  4 Pt 2.53-2.63, 8 Cu 2.62
Cu: 0.0000 0.5000 0.3280 [2 per cell]  7 Pt 2.60-2.65, 5 Cu 2.64-2.73
Cu: 0.5000 0.2508 0.1608 [4 per cell]  7 Cu 2.55-2.64, 5 Pt 2.61-2.69
Pt: 0.0000 0.0000 0.3186 [2 per cell]  7 Cu 2.53-2.64, 4 Pt 2.71
Pt: 0.0000 0.5000 0.0000 [1 per cell]  12 Cu 2.60-2.63
Pt: 0.5000 0.2536 0.5000 [2 per cell]  6 Pt 2.60-2.71, 6 Cu 2.65-2.69

Properties
Its total magnetization is 0.00 μB/cell.

<Q>
A plane-wave DFT calculation with SCAN was carried out for a PBEsol-optimized structure of Cu7Pt5.

a = 4.5901 Å, b = 4.5953 Å, c = 8.7036 Å
α = 95.32°, β = 94.69°, γ = 119.88°
With the nearest neighbours (Å) after each atom.
Space group P1 (No. 1)
One atom of each set of equivalent atoms:
Cu: 0.0000 0.0000 0.0000 [1 per cell]  5 Cu 2.58-2.67, 7 Pt 2.63-2.67
Cu: 0.0808 0.4101 0.2453 [1 per cell]  8 Cu 2.58-2.68, 4 Pt 2.59-2.60
Cu: 0.1645 0.8287 0.4915 [1 per cell]  5 Cu 2.58-2.67, 7 Pt 2.63-2.67
Cu: 0.2509 0.2516 0.7457 [1 per cell]  7 Pt 2.61-2.68, 5 Cu 2.65-2.67
Cu: 0.4078 0.0750 0.2462 [1 per cell]  8 Cu 2.58-2.68, 4 Pt 2.59-2.61
Cu: 0.5846 0.9194 0.7458 [1 per cell]  7 Pt 2.63-2.69, 5 Cu 2.65-2.67
Cu: 0.7541 0.7485 0.2461 [1 per cell]  4 Pt 2.58-2.61, 8 Cu 2.60-2.68
Pt: 0.3360 0.6647 0.0017 [1 per cell]  8 Cu 2.59-2.68, 4 Pt 2.64-2.69
Pt: 0.4931 0.4932 0.4897 [1 per cell]  8 Cu 2.59-2.68, 4 Pt 2.65-2.69
Pt: 0.6655 0.3294 0.0017 [1 per cell]  8 Cu 2.59-2.68, 4 Pt 2.64-2.71
Pt: 0.8286 0.1576 0.4901 [1 per cell]  8 Cu 2.58-2.68, 4 Pt 2.65-2.71
Pt: 0.9228 0.5955 0.7458 [1 per cell]  8 Cu 2.61-2.69, 4 Pt 2.69-2.71

Properties
Its total magnetization is 0.00 μB/cell.

On energetic grounds, <P> is preferred over the next structure by 9 meV/atom.